(1)
Density functional theory data (PBE-GGA) for crystalline Y2CdPd3 at its relaxed geometry.

The space group is Immm (No. 71) and the conventional cell measures 4.749, 5.548 and 9.995 Å, with angles of 90.00, 90.00 and 90.00 degrees. Symmetry generates all atoms from Y at (0.000, 0.000, 0.184), Cd at (0.000, 0.000, 0.500), Pd at (0.000, 0.500, 0.139) and Pd at (0.000, 0.500, 0.500).

The value obtained for the total magnetic moment is 0.00 μB per cell. The calculation puts the calculated density at 7.69 Mg/m³. As for the energy above the most stable polymorph in this dataset: 0.204 eV/atom.



(2)
Density functional theory data (PBE-GGA) for crystalline BP3Ru at its relaxed geometry.

The space group is Pm-3m (No. 221) and the conventional cell measures 4.005, 4.005 and 4.005 Å, with angles of 90.00, 90.00 and 90.00 degrees. Symmetry generates all atoms from B at (0.000, 0.000, 0.000), P at (0.000, 0.000, 0.500) and Ru at (0.500, 0.500, 0.500).

The value obtained for the total magnetic moment is 0.00 μB per cell. The calculation puts the calculated density at 5.29 Mg/m³. As for the energy above the most stable polymorph in this dataset: 0.000 eV/atom.



(3)
Density functional theory data (PBE-GGA) for crystalline AlTl2Hg at its relaxed geometry.

The space group is Fm-3m (No. 225) and the conventional cell measures 7.523, 7.523 and 7.523 Å, with angles of 90.00, 90.00 and 90.00 degrees. Symmetry generates all atoms from Al at (0.000, 0.000, 0.000), Tl at (0.250, 0.250, 0.250) and Hg at (0.000, 0.000, 0.500).

The value obtained for the total magnetic moment is 0.00 μB per cell. The calculation puts the calculated density at 9.93 Mg/m³. As for the energy above the most stable polymorph in this dataset: 0.078 eV/atom.



(4)
Density functional theory data (PBE-GGA) for crystalline GaNi2Sb2 at its relaxed geometry.

The space group is I4/mmm (No. 139) and the conventional cell measures 4.686, 4.686 and 9.233 Å, with angles of 90.00, 90.00 and 90.00 degrees. Symmetry generates all atoms from Ga at (0.000, 0.000, 0.000), Ni at (0.000, 0.000, 0.372) and Sb at (0.000, 0.500, 0.250).

The value obtained for the total magnetic moment is 0.00 μB per cell. The calculation puts the calculated density at 7.05 Mg/m³. As for the energy above the most stable polymorph in this dataset: 0.149 eV/atom.



Number 1: calculated volume 21.9 Å³/atom. Number 2: calculated volume 12.8 Å³/atom. Number 3: calculated volume 26.6 Å³/atom. Number 4: calculated volume 20.3 Å³/atom.